[1]
The following is a DFT calculation (PBE) of FeTeRh2 after structural relaxation.

Output
Magnetization in μB/f.u.: 4.1
Raw formation energy in eV per atom: 0.06

a b c (Å): 4.8026 4.8026 4.2259
angles (deg): 74.23 74.23 43.97
Each line ends with the local moment (μB).
Fractional positions:
Te 0.4922 0.4922 0.5448  0.01
Rh 0.7565 0.7565 0.6998  0.38
Rh 0.9938 0.9938 0.0639  0.49
Fe 0.2575 0.2575 0.1914  3.17


[2]
The following is a DFT calculation (PBE) of Fe2TeRh2 after structural relaxation.

Output
Magnetization in μB/f.u.: 0.0
Raw formation energy in eV per atom: 0.50

a b c (Å): 3.6218 3.6218 6.3716
angles (deg): 73.49 73.49 90.00
Fractional positions:
Fe 0.4004 0.4004 0.1993
Rh 0.2500 0.7500 0.5000
Te 0.0000 0.0000 0.0000
Rh 0.7500 0.2500 0.5000
Fe 0.5996 0.5996 0.8007


[3]
The following is a DFT calculation (PBE) of Fe2TeRh after structural relaxation.

Output
Magnetization in μB/f.u.: 6.3
Raw formation energy in eV per atom: 0.45

a b c (Å): 8.0757 8.0757 8.0757
angles (deg): 22.05 22.05 22.05
Each line ends with the local moment (μB).
Fractional positions:
Fe 0.5048 0.5048 0.5048  2.74
Te 0.7500 0.7500 0.7500  -0.08
Rh 0.2500 0.2500 0.2500  1.02
Fe 0.9952 0.9952 0.9952  2.74


[4]
The following is a DFT calculation (PBE) of FeTeRh2 after structural relaxation.

Output
Magnetization in μB/f.u.: 3.8
Raw formation energy in eV per atom: 0.09

a b c (Å): 3.5133 3.5133 5.3453
angles (deg): 90.00 90.00 90.00
Each line ends with the local moment (μB).
Fractional positions:
Te 0.0000 0.0000 0.4676  -0.01
Fe 0.5000 0.5000 0.7976  3.11
Rh 0.0000 0.0000 0.9637  0.54
Rh 0.5000 0.5000 0.2711  0.14


[5]
The following is a DFT calculation (PBE) of Fe2TeRh after structural relaxation.

Output
Magnetization in μB/f.u.: 5.8
Raw formation energy in eV per atom: 0.16

a b c (Å): 4.7599 4.7599 4.7599
angles (deg): 131.07 131.07 71.70
Each line ends with the local moment (μB).
Fractional positions:
Te 0.7500 0.2500 0.5000  0.01
Fe 0.0000 0.0000 0.0000  2.67
Rh 0.5000 0.5000 0.0000  0.39
Fe 0.2500 0.7500 0.5000  2.75


[6]
The following is a DFT calculation (PBE) of Fe3TeRh after structural relaxation.

Output
Magnetization in μB/f.u.: 10.7
Raw formation energy in eV per atom: 0.97

a b c (Å): 4.6618 4.6618 4.6618
angles (deg): 90.00 90.00 90.00
Each line ends with the local moment (μB).
Fractional positions:
Fe 0.0000 0.5000 0.0000  3.24
Rh 0.0000 0.0000 0.0000  0.87
Fe 0.5000 0.0000 0.0000  2.71
Te 0.5000 0.5000 0.5000  0.09
Fe 0.0000 0.0000 0.5000  3.58


[7]
The following is a DFT calculation (PBE) of Fe2TeRh after structural relaxation.

Output
Magnetization in μB/f.u.: 5.6
Raw formation energy in eV per atom: 0.17

a b c (Å): 4.3931 4.3931 4.3931
angles (deg): 60.00 60.00 60.00
Each line ends with the local moment (μB).
Fractional positions:
Rh 0.5000 0.5000 0.5000  0.47
Te 0.7500 0.7500 0.7500  0.02
Fe 0.0000 0.0000 0.0000  2.24
Fe 0.2500 0.2500 0.2500  2.90


[8]
The following is a DFT calculation (PBE) of FeTeRh2 after structural relaxation.

Output
Magnetization in μB/f.u.: 3.6
Raw formation energy in eV per atom: 0.03

a b c (Å): 3.3354 3.3354 5.7498
angles (deg): 90.00 90.00 90.00
Each line ends with the local moment (μB).
Fractional positions:
Rh 0.0000 0.0000 0.5174  0.23
Te 0.5000 0.5000 0.2500  -0.02
Rh 0.0000 0.0000 0.9826  0.23
Fe 0.5000 0.5000 0.7500  3.10


[9]
The following is a DFT calculation (PBE) of FeTeRh2 after structural relaxation.

Output
Magnetization in μB/f.u.: 3.4
Raw formation energy in eV per atom: 0.00

a b c (Å): 4.7621 4.7621 4.7621
angles (deg): 130.10 130.09 73.26
Each line ends with the local moment (μB).
Fractional positions:
Rh 0.5001 0.5001 0.0000  0.23
Te 0.7500 0.2500 0.5000  -0.01
Rh 0.9999 0.9999 0.0000  0.23
Fe 0.2500 0.7500 0.5000  2.88


[10]
The following is a DFT calculation (PBE) of FeTeRh2 after structural relaxation.

Output
Magnetization in μB/f.u.: 3.5
Raw formation energy in eV per atom: 0.24

a b c (Å): 3.9534 3.9534 9.2002
angles (deg): 77.59 77.59 90.00
Each line ends with the local moment (μB).
Fractional positions:
Rh 0.6084 0.1250 0.2500  0.27
Rh 0.3750 0.3916 0.7500  0.27
Rh 0.1416 0.6250 0.2500  0.27
Te 0.0000 0.0000 0.0000  -0.01
Rh 0.8750 0.8584 0.7500  0.27
Fe 0.2500 0.7500 0.5000  2.88
Fe 0.5000 0.5000 0.0000  2.88
Te 0.7500 0.2500 0.5000  -0.01


[11]
The following is a DFT calculation (PBE) of Fe2TeRh after structural relaxation.

Output
Magnetization in μB/f.u.: 6.1
Raw formation energy in eV per atom: 0.16

a b c (Å): 4.1704 3.8248 3.8248
angles (deg): 90.00 90.00 90.00
Each line ends with the local moment (μB).
Fractional positions:
Te 0.5000 0.0000 0.5000  0.04
Rh 0.5000 0.5000 0.0000  0.36
Fe 0.0000 0.5000 0.5000  2.84
Fe 0.0000 0.0000 0.0000  2.84


[12]
The following is a DFT calculation (PBE) of FeTeRh2 after structural relaxation.

Output
Magnetization in μB/f.u.: 4.1
Raw formation energy in eV per atom: 0.10

a b c (Å): 4.5349 4.5349 3.1693
angles (deg): 90.00 90.00 99.93
Each line ends with the local moment (μB).
Fractional positions:
Fe 0.0000 0.5000 0.5000  3.18
Rh 0.5000 0.5000 0.0000  0.45
Rh 0.0000 0.0000 0.0000  0.45
Te 0.5000 0.0000 0.5000  0.03


[13]
The following is a DFT calculation (PBE) of FeTeRh3 after structural relaxation.

Output
Magnetization in μB/f.u.: 0.0
Raw formation energy in eV per atom: 0.88

a b c (Å): 4.4931 4.4931 4.4931
angles (deg): 90.00 90.00 90.00
Fractional positions:
Rh 0.0000 0.5000 0.0000
Rh 0.0000 0.0000 0.5000
Te 0.5000 0.5000 0.5000
Fe 0.0000 0.0000 0.0000
Rh 0.5000 0.0000 0.0000


[14]
The following is a DFT calculation (PBE) of Fe2TeRh after structural relaxation.

Output
Magnetization in μB/f.u.: 5.8
Raw formation energy in eV per atom: 0.12

a b c (Å): 4.9723 4.9723 4.9723
angles (deg): 135.13 135.16 65.31
Each line ends with the local moment (μB).
Fractional positions:
Fe 0.5000 0.5000 0.0000  2.76
Te 0.2500 0.7500 0.5000  0.01
Fe 0.0000 0.0000 0.0000  2.76
Rh 0.7500 0.2500 0.5000  0.31


[15]
The following is a DFT calculation (PBE) of FeTeRh2 after structural relaxation.

Output
Magnetization in μB/f.u.: 4.0
Raw formation energy in eV per atom: 0.07

a b c (Å): 4.9554 4.9554 4.9554
angles (deg): 133.66 133.70 67.59
Each line ends with the local moment (μB).
Fractional positions:
Rh 0.7502 0.2502 0.5000  0.46
Rh 0.0001 0.0001 0.0000  0.48
Te 0.4998 0.4998 0.0000  0.01
Fe 0.2499 0.7499 0.5000  3.01


[16]
The following is a DFT calculation (PBE) of FeTe3Rh after structural relaxation.

Output
Magnetization in μB/f.u.: 1.6
Raw formation energy in eV per atom: 0.78

a b c (Å): 4.9493 4.9493 4.9493
angles (deg): 90.00 90.00 90.00
Each line ends with the local moment (μB).
Fractional positions:
Te 0.0000 0.5000 0.0000  -0.01
Fe 0.0000 0.0000 0.0000  1.58
Te 0.0000 0.0000 0.5000  0.02
Te 0.5000 0.0000 0.0000  0.05
Rh 0.5000 0.5000 0.5000  -0.12


[17]
The following is a DFT calculation (PBE) of FeTe4Rh after structural relaxation.

Output
Magnetization in μB/f.u.: 4.4
Raw formation energy in eV per atom: 1.22

a b c (Å): 6.1345 6.1345 6.1345
angles (deg): 60.00 60.00 60.00
Each line ends with the local moment (μB).
Fractional positions:
Te 0.8757 0.3748 0.3748  0.07
Te 0.3748 0.8757 0.3748  0.07
Fe 0.7500 0.7500 0.7500  3.31
Rh 0.0000 0.0000 0.0000  0.50
Te 0.3748 0.3748 0.3748  0.07
Te 0.3748 0.3748 0.8757  0.07


[18]
The following is a DFT calculation (PBE) of Fe2TeRh after structural relaxation.

Output
Magnetization in μB/f.u.: 3.0
Raw formation energy in eV per atom: 0.83

a b c (Å): 5.3250 5.3250 6.9377
angles (deg): 67.43 67.43 90.00
Each line ends with the local moment (μB).
Fractional positions:
Rh 0.2500 0.7500 0.5000  0.20
Te 0.0000 0.0000 0.0000  -0.10
Fe 0.8750 0.8416 0.7500  1.45
Fe 0.3750 0.4084 0.7500  1.46
Rh 0.5000 0.5000 0.0000  0.19
Fe 0.1584 0.6250 0.2500  1.38
Fe 0.5916 0.1250 0.2500  1.39
Te 0.7500 0.2500 0.5000  -0.10


[19]
The following is a DFT calculation (PBE) of FeTe4Rh after structural relaxation.

Output
Magnetization in μB/f.u.: 0.6
Raw formation energy in eV per atom: -0.27

a b c (Å): 6.3950 6.3938 6.3983
angles (deg): 90.00 90.47 90.00
Each line ends with the local moment (μB).
Fractional positions:
Te 0.1388 0.8625 0.6233  -0.01
Fe 0.0000 0.5000 0.5000  0.51
Rh 0.5000 0.5000 0.0000  0.08
Te 0.3747 0.8731 0.1415  0.00
Te 0.8612 0.1375 0.3767  -0.01
Rh 0.0000 0.0000 0.0000  0.08
Fe 0.5000 0.0000 0.5000  0.51
Te 0.6253 0.1269 0.8585  0.00
Te 0.6388 0.6375 0.6233  -0.01
Te 0.8747 0.6269 0.1415  0.00
Te 0.3612 0.3625 0.3767  -0.01
Te 0.1253 0.3731 0.8585  0.00


[20]
The following is a DFT calculation (PBE) of Fe2TeRh after structural relaxation.

Output
Magnetization in μB/f.u.: 5.1
Raw formation energy in eV per atom: 0.20

a b c (Å): 4.2730 3.3738 4.2622
angles (deg): 89.97 90.00 90.00
Each line ends with the local moment (μB).
Fractional positions:
Rh 0.0000 0.6247 0.4487  0.22
Fe 0.0000 0.1249 0.9764  2.69
Te 0.5000 0.6253 0.8006  -0.07
Fe 0.5000 0.1252 0.2743  2.30


[21]
The following is a DFT calculation (PBE) of FeTeRh2 after structural relaxation.

Output
Magnetization in μB/f.u.: 2.9
Raw formation energy in eV per atom: 0.13

a b c (Å): 4.4455 4.4455 4.4455
angles (deg): 60.00 60.00 60.00
Each line ends with the local moment (μB).
Fractional positions:
Te 0.7500 0.7500 0.7500  -0.01
Rh 0.2500 0.2500 0.2500  0.27
Fe 0.5000 0.5000 0.5000  2.54
Rh 0.0000 0.0000 0.0000  0.14


[22]
The following is a DFT calculation (PBE) of FeTeRh2 after structural relaxation.

Output
Magnetization in μB/f.u.: 4.0
Raw formation energy in eV per atom: 0.19

a b c (Å): 8.0554 8.0554 8.0554
angles (deg): 22.47 22.47 22.47
Each line ends with the local moment (μB).
Fractional positions:
Rh 0.4935 0.4935 0.4935  0.42
Rh 0.0065 0.0065 0.0065  0.42
Te 0.2500 0.2500 0.2500  -0.01
Fe 0.7500 0.7500 0.7500  3.18


[23]
The following is a DFT calculation (PBE) of FeTeRh2 after structural relaxation.

Output
Magnetization in μB/f.u.: 4.0
Raw formation energy in eV per atom: 0.36

a b c (Å): 8.2109 8.2109 8.2109
angles (deg): 21.88 21.88 21.88
Each line ends with the local moment (μB).
Fractional positions:
Rh 0.0058 0.0058 0.0058  0.96
Rh 0.2499 0.2499 0.2499  0.12
Fe 0.7438 0.7438 0.7438  2.91
Te 0.5004 0.5004 0.5004  0.01


[24]
The following is a DFT calculation (PBE) of Th3FeRh after structural relaxation.

Output
E_form in eV/atom: -0.3809
Magnetization in μB/f.u.: 0.4

a b c (Å): 3.8568 7.9709 8.4632
angles (deg): 111.83 90.00 90.00
Each line ends with the local moment (μB).
Fractional positions:
Fe 0.2500 0.4466 0.9169  0.54
Rh 0.7500 0.7704 0.6584  -0.01
Fe 0.7500 0.5534 0.0831  0.54
Th 0.2500 0.0531 0.6818  -0.01
Th 0.2500 0.7829 0.9439  -0.04
Th 0.7500 0.4062 0.6480  -0.04
Rh 0.2500 0.2296 0.3416  -0.01
Th 0.7500 0.9469 0.3182  -0.01
Th 0.2500 0.5938 0.3520  -0.04
Th 0.7500 0.2171 0.0561  -0.04


[25]
The following is a DFT calculation (PBE) of Th2FeRh after structural relaxation.

Output
E_form in eV/atom: 0.1919
Magnetization in μB/f.u.: 0.0

a b c (Å): 3.7653 3.7653 8.6144
angles (deg): 77.38 77.38 60.00
Fractional positions:
Th 0.8970 0.8970 0.3089
Rh 0.0000 0.0000 0.0000
Fe 0.5000 0.5000 0.5000
Th 0.1030 0.1030 0.6911


[26]
The following is a DFT calculation (PBE) of Ti5FeRh4 after structural relaxation.

Output
E_form in eV/atom: -0.6661
Magnetization in μB/f.u.: 0.9

a b c (Å): 2.9695 2.9695 16.5740
angles (deg): 90.00 90.00 90.00
Each line ends with the local moment (μB).
Fractional positions:
Fe 0.0000 0.0000 0.0000  0.82
Rh 0.0000 0.0000 0.8099  0.05
Ti 0.5000 0.5000 0.9112  -0.20
Ti 0.5000 0.5000 0.5000  0.16
Ti 0.5000 0.5000 0.0888  -0.20
Rh 0.0000 0.0000 0.1901  0.05
Rh 0.0000 0.0000 0.6055  0.01
Rh 0.0000 0.0000 0.3945  0.01
Ti 0.5000 0.5000 0.2927  0.11
Ti 0.5000 0.5000 0.7073  0.11


[27]
The following is a DFT calculation (PBE) of Ti6Fe5Rh after structural relaxation.

Output
E_form in eV/atom: -0.4591
Magnetization in μB/f.u.: 0.6

a b c (Å): 4.2176 5.9697 6.6585
angles (deg): 90.00 71.54 90.00
Each line ends with the local moment (μB).
Fractional positions:
Fe 0.6665 0.5000 0.6670  0.36
Fe 0.3328 0.0000 0.3345  0.21
Fe 0.6672 0.0000 0.6655  0.21
Ti 0.8297 0.7471 0.3405  -0.12
Ti 0.5000 0.2587 0.0000  -0.12
Ti 0.5000 0.7413 0.0000  -0.12
Fe 0.0000 0.5000 0.0000  0.41
Ti 0.1703 0.7471 0.6595  -0.12
Fe 0.3335 0.5000 0.3330  0.36
Ti 0.8297 0.2529 0.3405  -0.12
Ti 0.1703 0.2529 0.6595  -0.12
Rh 0.0000 0.0000 0.0000  0.04


[28]
The following is a DFT calculation (PBE) of Ti4Fe3Rh after structural relaxation.

Output
E_form in eV/atom: -0.4907
Magnetization in μB/f.u.: 0.8

a b c (Å): 2.9839 2.9839 12.0876
angles (deg): 90.00 90.00 90.00
Each line ends with the local moment (μB).
Fractional positions:
Ti 0.0000 0.0000 0.3788  -0.21
Ti 0.0000 0.0000 0.8629  -0.15
Fe 0.5000 0.5000 0.2538  0.66
Rh 0.5000 0.5000 0.0000  0.06
Ti 0.0000 0.0000 0.6212  -0.21
Fe 0.5000 0.5000 0.5000  0.30
Ti 0.0000 0.0000 0.1371  -0.15
Fe 0.5000 0.5000 0.7462  0.66